# 1
The following is a PBE calculation of Ta4ReOs after structural relaxation, from the Alexandria database.

Cell: 7.482 7.482 7.482 Å, 90.00 90.00 90.00°
Space group F-43m (No. 216)
Inequivalent atoms, fractional coordinates:
1 Ta 0.125 0.125 0.125
2 Re 0.000 0.000 0.500
3 Os 0.250 0.250 0.750

## Properties
* calculated formation energy: 3.1 eV per formula unit
* M_tot: 2.65 Bohr magnetons per cell
* total energy: -0.8331 Ry/atom

=====

# 2
The following is a PBE calculation of Hf2ZrGe after structural relaxation, from the Alexandria database.

Cell: 7.997 7.997 5.569 Å, 90.00 90.00 90.00°
Space group I-42d (No. 122)
Inequivalent atoms, fractional coordinates:
1 Hf 0.207 0.250 0.125
2 Zr 0.000 0.000 0.500
3 Ge 0.000 0.000 0.000

## Properties
* calculated formation energy: 0.4 eV per formula unit
* M_tot: 0.00 Bohr magnetons per cell
* total energy: -0.6006 Ry/atom

=====

# 3
The following is a PBE calculation of PaTlAu after structural relaxation, from the Alexandria database.

Cell: 3.701 3.701 23.247 Å, 90.00 90.00 90.00°
Space group I4/mmm (No. 139)
Inequivalent atoms, fractional coordinates:
1 Pa 0.000 0.000 0.216
2 Tl 0.000 0.000 0.066
3 Au 0.000 0.000 0.355

## Properties
* calculated formation energy: -0.1 eV per formula unit
* M_tot: 1.24 Bohr magnetons per cell
* total energy: -0.3733 Ry/atom

=====

# 4
The following is a PBE calculation of RbMgV2Cl8 after structural relaxation, from the Alexandria database.

Cell: 6.113 7.824 6.352 Å, 90.00 95.17 90.00°
Space group P2/m (No. 10)
Inequivalent atoms, fractional coordinates:
1 Rb 0.000 0.000 0.000
2 Mg 0.000 0.500 0.000
3 V 0.500 0.258 0.500
4 Cl 0.265 0.290 0.172
5 Cl 0.281 0.500 0.639
6 Cl 0.299 0.000 0.618

## Properties
* uncorrected formation energy: -1.3599 eV per atom
* M_tot: 5.00 Bohr magnetons per cell
* total energy: -0.3178 Ry/atom